The following is a PBE calculation of an optimized crystal structure of CaIn2S2, from Alexandria.

Cell lengths 7.532, 7.532, 4.477 Å; angles 90.00, 90.00, 90.00 degrees
Element x y z (fractional)
Ca  0.000  0.000  0.000
Ca  0.500  0.500  0.000
In  0.145  0.355  0.500
In  0.355  0.855  0.500
In  0.645  0.145  0.500
In  0.855  0.645  0.500
S  0.183  0.683  0.000
S  0.317  0.183  0.000
S  0.683  0.817  0.000
S  0.817  0.317  0.000

space-group type = P4/mbm, No. 127
M_tot = 0.00 μB/atom
uncorrected formation energy = -0.678 eV/atom

---

The following is a PBE calculation of an optimized crystal structure of Er3BTe2, from Alexandria.

Cell lengths 7.688, 7.688, 4.061 Å; angles 90.00, 90.00, 135.57 degrees
Element x y z (fractional)
Er  0.000  0.000  0.000
Er  0.388  0.612  0.500
Er  0.612  0.388  0.500
B  0.500  0.500  0.000
Te  0.161  0.839  0.500
Te  0.839  0.161  0.500

space-group type = Cmmm, No. 65
energy above the lowest structure with this stoichiometry = 0.131 eV per atom
M_tot = 0.00 μB/atom
uncorrected formation energy = -0.837 eV/atom

---

The following is a PBE calculation of an optimized crystal structure of Pr2CdHg4, from Alexandria.

Cell lengths 8.818, 8.818, 8.818 Å; angles 144.80, 144.80, 50.63 degrees
Element x y z (fractional)
Pr  0.120  0.120  0.000
Pr  0.880  0.880  0.000
Cd  0.500  0.500  0.000
Hg  0.000  0.500  0.500
Hg  0.314  0.314  0.000
Hg  0.500  0.000  0.500
Hg  0.686  0.686  0.000

space-group type = I4/mmm, No. 139
energy above the lowest structure with this stoichiometry = 0.311 eV per atom
M_tot = 0.00 μB/atom
E_form = -0.022 eV/atom

---

The following is a PBE calculation of an optimized crystal structure of LiTi2Al2, from Alexandria.

Cell lengths 7.509, 7.509, 3.094 Å; angles 90.00, 90.00, 90.00 degrees
Element x y z (fractional)
Li  0.000  0.000  0.000
Li  0.500  0.500  0.000
Ti  0.175  0.325  0.500
Ti  0.325  0.825  0.500
Ti  0.675  0.175  0.500
Ti  0.825  0.675  0.500
Al  0.123  0.623  0.000
Al  0.377  0.123  0.000
Al  0.623  0.877  0.000
Al  0.877  0.377  0.000

space-group type = P4/mbm, No. 127
energy above the lowest structure with this stoichiometry = 0.000 eV per atom
M_tot = 0.00 μB/atom
E_form = -0.088 eV/atom

---

The following is a PBE calculation of an optimized crystal structure of Ti2SbAs, from Alexandria.

Cell lengths 7.337, 7.337, 7.337 Å; angles 131.63, 131.63, 70.82 degrees
Element x y z (fractional)
Ti  0.093  0.625  0.968
Ti  0.375  0.343  0.468
Ti  0.657  0.125  0.032
Ti  0.875  0.907  0.532
Sb  0.250  0.750  0.500
Sb  0.500  0.500  0.000
As  0.000  0.000  0.000
As  0.750  0.250  0.500

space-group type = I-42d, No. 122
M_tot = 0.00 μB/atom
uncorrected formation energy = -0.019 eV/atom

---

The following is a PBE calculation of an optimized crystal structure of Na2Er2IO6, from Alexandria.

Cell lengths 6.052, 6.052, 5.827 Å; angles 97.63, 97.63, 122.04 degrees
Element x y z (fractional)
Na  0.164  0.836  0.000
Na  0.836  0.164  0.000
Er  0.334  0.666  0.500
Er  0.666  0.334  0.500
I  0.000  0.000  0.500
O  0.039  0.400  0.703
O  0.261  0.261  0.313
O  0.400  0.039  0.703
O  0.600  0.961  0.297
O  0.739  0.739  0.687
O  0.961  0.600  0.297

space-group type = C2/m, No. 12
M_tot = 0.09 μB/atom
uncorrected formation energy = -1.987 eV/atom

---

The following is a PBE calculation of an optimized crystal structure of SrMnRh2, from Alexandria.

Cell lengths 5.789, 5.789, 5.789 Å; angles 148.83, 130.87, 59.34 degrees
Element x y z (fractional)
Sr  0.000  0.000  0.000
Mn  0.286  0.786  0.500
Rh  0.501  0.501  0.000
Rh  0.727  0.227  0.500

space-group type = Imm2, No. 44
energy above the lowest structure with this stoichiometry = 0.254 eV per atom
M_tot = 1.15 μB/atom
E_form = 0.188 eV/atom

---

The following is a PBE calculation of an optimized crystal structure of Ac2DyMg, from Alexandria.

Cell lengths 5.899, 5.899, 5.899 Å; angles 60.00, 60.00, 60.00 degrees
Element x y z (fractional)
Ac  0.250  0.250  0.250
Ac  0.750  0.750  0.750
Dy  0.000  0.000  0.000
Mg  0.500  0.500  0.500

space-group type = Fm-3m, No. 225
energy above the lowest structure with this stoichiometry = 0.030 eV per atom
M_tot = 0.00 μB/atom
E_form = 0.031 eV/atom

---

The following is a PBE calculation of an optimized crystal structure of TbHoCuIr, from Alexandria.

Cell lengths 4.872, 4.872, 4.872 Å; angles 60.00, 60.00, 60.00 degrees
Element x y z (fractional)
Tb  0.000  0.000  0.000
Ho  0.500  0.500  0.500
Cu  0.250  0.250  0.250
Ir  0.750  0.750  0.750

space-group type = F-43m, No. 216
M_tot = 0.00 μB/atom
E_form = -0.592 eV/atom

---

The following is a PBE calculation of an optimized crystal structure of Sm5Si2Ag, from Alexandria.

Cell lengths 9.161, 9.161, 9.161 Å; angles 130.84, 130.84, 72.07 degrees
Element x y z (fractional)
Sm  0.000  0.000  0.000
Sm  0.033  0.533  0.847
Sm  0.187  0.033  0.500
Sm  0.313  0.813  0.847
Sm  0.467  0.313  0.500
Sm  0.500  0.500  0.000
Sm  0.533  0.687  0.500
Sm  0.687  0.187  0.153
Sm  0.813  0.967  0.500
Sm  0.967  0.467  0.153
Si  0.118  0.382  0.500
Si  0.382  0.882  0.264
Si  0.618  0.118  0.736
Si  0.882  0.618  0.500
Ag  0.250  0.250  0.000
Ag  0.750  0.750  0.000

space-group type = I4/mcm, No. 140
M_tot = 0.00 μB/atom
uncorrected formation energy = -0.472 eV/atom

---

The following is a PBE calculation of an optimized crystal structure of Ba2AlS3, from Alexandria.

Cell lengths 8.539, 8.539, 8.539 Å; angles 150.15, 147.31, 44.85 degrees
Element x y z (fractional)
Ba  0.143  0.143  0.000
Ba  0.857  0.857  0.000
Al  0.500  0.500  0.000
S  0.000  0.500  0.500
S  0.347  0.347  0.000
S  0.653  0.653  0.000

space-group type = Immm, No. 71
M_tot = 0.00 μB/atom
uncorrected formation energy = -1.547 eV/atom